This record from Alexandria via LeMat-Bulk describes a geometry-optimized ZrSbPt2 structure. The functional is PBE.

a = 4.120 Å, b = 4.120 Å, c = 9.982 Å
α = 78.09°, β = 78.09°, γ = 90.00°
Fractional coordinates of all 8 atoms:
Pt1 0.626 0.125 0.250
Pt2 0.875 0.876 0.750
Zr1 0.250 0.750 0.500
Sb1 0.000 0.000 0.000
Pt3 0.375 0.374 0.750
Sb2 0.750 0.250 0.500
Zr2 0.500 0.500 0.000
Pt4 0.124 0.625 0.250

***

This record from Alexandria via LeMat-Bulk describes a geometry-optimized ZrSbPt2 structure. The functional is PBE.

a = 4.154 Å, b = 4.154 Å, c = 4.293 Å
α = 90.00°, β = 90.00°, γ = 89.99°
Fractional coordinates of all 4 atoms:
Zr1 0.000 0.500 0.500
Pt1 0.500 0.500 0.000
Sb1 0.500 0.000 0.500
Pt2 0.000 0.000 0.000

***

This record from Alexandria via LeMat-Bulk describes a geometry-optimized Zr2SbPt2 structure. The functional is PBE.

a = 4.640 Å, b = 4.640 Å, c = 6.241 Å
α = 68.18°, β = 68.18°, γ = 90.00°
Fractional coordinates of all 5 atoms:
Pt1 0.378 0.378 0.245
Pt2 0.622 0.622 0.755
Sb1 0.000 0.000 0.000
Zr1 0.750 0.250 0.500
Zr2 0.250 0.750 0.500

Output
offset from the most stable computed form = 241 meV per atom

***

Values of D(E_F), in order: 3.2; 2.0; 2.8, all in states/eV per cell.
Values of formation energy from raw total energies, in order: -42.3; -62.8; -61.2, all in kJ per mole of atoms.